# 1
Compound: Tm2Si5Pd3
Source: the Alexandria database
Functional: PBE-GGA
Structure: relaxed

POSCAR file:
```
Tm2Si5Pd3
1.0
-5.0067 5.7268 2.9434
5.0067 -5.7268 2.9434
5.0067 5.7268 -2.9434
Tm Si Pd
4 10 6
direct
0.1279 0.2314 0.3593
0.3721 0.7314 0.1035
0.6279 0.2686 0.8965
0.8721 0.7686 0.6407
0.0247 0.7500 0.2747
0.1145 0.6527 0.7672
0.2500 0.2500 0.0000
0.3855 0.1527 0.5382
0.4753 0.7500 0.7253
0.5247 0.2500 0.2747
0.6145 0.8473 0.4618
0.7500 0.7500 0.0000
0.8855 0.3473 0.2328
0.9753 0.2500 0.7253
0.1389 0.8863 0.0252
0.2500 0.7500 0.5000
0.3611 0.3863 0.7473
0.6389 0.6137 0.2527
0.7500 0.2500 0.5000
0.8611 0.1137 0.9748
```

## Properties
Volume ... 338 Å³/cell
ΔE_f (raw) ... -0.763 eV per atom

# 2
Compound: SmPbI
Source: the Alexandria database
Functional: PBE-GGA
Structure: relaxed

POSCAR file:
```
SmPbI
1.0
7.8045 0.0000 0.0000
0.0000 3.8959 0.0000
-2.8697 0.0000 7.6391
Sm Pb I
2 2 2
direct
0.0000 0.0000 0.0000
0.0000 0.5000 0.5000
0.2957 0.0000 0.4008
0.7043 0.0000 0.5992
0.2513 0.5000 0.8910
0.7487 0.5000 0.1090
```

## Properties
Volume ... 232 Å³/cell
ΔE_f (raw) ... -0.550 eV per atom

# 3
Compound: CuSeCl2
Source: the Alexandria database
Functional: PBE-GGA
Structure: relaxed

POSCAR file:
```
CuSeCl2
1.0
2.9297 0.0000 0.0000
0.0000 2.9297 0.0000
0.0000 0.0000 11.2190
Cu Se Cl
1 1 2
direct
0.0000 0.0000 0.0000
0.0000 0.0000 0.5000
0.5000 0.5000 0.1409
0.5000 0.5000 0.8591
```

## Properties
Volume ... 96 Å³/cell
ΔE_f (raw) ... 0.179 eV per atom

# 4
Compound: Ta2AgPt
Source: the Alexandria database
Functional: PBE-GGA
Structure: relaxed

POSCAR file:
```
Ta2AgPt
1.0
3.5158 0.0000 0.0000
0.0000 3.5158 0.0000
0.0000 0.0000 5.6543
Ta Ag Pt
2 1 1
direct
0.0000 0.0000 0.2391
0.0000 0.0000 0.7609
0.5000 0.5000 0.5000
0.5000 0.5000 0.0000
```

## Properties
Calculated formation energy ... 60.9 meV/atom
Volume ... 70 Å³/cell

# 5
Compound: AgSbTe2Se
Source: the Alexandria database
Functional: PBE-GGA
Structure: relaxed

POSCAR file:
```
AgSbTe2Se
1.0
5.3612 0.0000 0.0000
0.0000 5.3612 0.0000
0.0000 0.0000 5.4014
Ag Sb Te Se
1 1 2 1
direct
0.0000 0.0000 0.0000
0.0000 0.0000 0.5000
0.0000 0.5000 0.0000
0.5000 0.0000 0.0000
0.5000 0.5000 0.5000
```

## Properties
Volume ... 155 Å³/cell
ΔE_f (raw) ... 0.729 eV per atom

# 6
Compound: TbPrNd2Se5
Source: the Alexandria database
Functional: PBE-GGA
Structure: relaxed

POSCAR file:
```
TbPrNd2Se5
1.0
5.1715 0.0000 0.0000
0.0000 5.1715 0.0000
0.0000 0.0000 11.0805
Tb Pr Nd Se
1 1 2 5
direct
0.0000 0.0000 0.0000
0.0000 0.0000 0.5000
0.5000 0.5000 0.1659
0.5000 0.5000 0.8341
0.0000 0.0000 0.2490
0.0000 0.0000 0.7510
0.0000 0.5000 0.0000
0.5000 0.0000 0.0000
0.5000 0.5000 0.5000
```

## Properties
Volume ... 296 Å³/cell
ΔE_f (raw) ... -1.271 eV per atom

# 7
Compound: K2PmI6
Source: the Alexandria database
Functional: PBE-GGA
Structure: relaxed

POSCAR file:
```
K2PmI6
1.0
8.5663 0.0000 0.0000
0.0000 9.2898 0.0000
-8.0735 0.0000 10.6333
K Pm I
4 2 12
direct
0.2198 0.1032 0.2410
0.2198 0.3968 0.7410
0.7802 0.6032 0.2590
0.7802 0.8968 0.7590
0.5000 0.0000 0.0000
0.5000 0.5000 0.5000
0.1367 0.1765 0.9320
0.1367 0.3235 0.4320
0.2723 0.7117 0.9423
0.2723 0.7883 0.4423
0.3568 0.0286 0.7271
0.3568 0.4714 0.2271
0.6432 0.5286 0.7729
0.6432 0.9714 0.2729
0.7277 0.2117 0.5577
0.7277 0.2883 0.0577
0.8633 0.6765 0.5680
0.8633 0.8235 0.0680
```

## Properties
Volume ... 846 Å³/cell
ΔE_f (raw) ... -1.210 eV per atom

# 8
Compound: RhC2
Source: the Alexandria database
Functional: PBE-GGA
Structure: relaxed

POSCAR file:
```
RhC2
1.0
0.0000 3.0546 3.0546
3.0546 0.0000 3.0546
3.0546 3.0546 0.0000
Rh C
2 4
direct
0.1250 0.1250 0.1250
0.8750 0.8750 0.8750
0.0000 0.5000 0.5000
0.5000 0.0000 0.5000
0.5000 0.5000 0.0000
0.5000 0.5000 0.5000
```

## Properties
Calculated formation energy ... 2831.3 meV/atom
Volume ... 57 Å³/cell

Q: Which value of volume does entry 2 give?
A: 232 Å³/cell